# 1
PrNpTc4 | PBE | optimized geometry

Summary:
energy relative to the elements	18	kJ/mol of atoms
magnetic moment	4.36	μB per cell
calculated volume	113	Å³/cell
ρ	11.28	g/cm3
SG	No. 216

Lattice parameters (Å, degrees): 5.431 5.431 5.431 60.00 60.00 60.00
Each line ends with the local moment (μB).
Element x y z (fractional)
Tc 0.625 0.625 0.125  0.11
Tc 0.625 0.625 0.625  0.11
Tc 0.625 0.125 0.625  0.11
Tc 0.125 0.625 0.625  0.11
Np 0.000 0.000 0.000  3.53
Pr 0.250 0.250 0.250  0.02

---

# 2
PrNpTc2 | PBE | optimized geometry

Summary:
energy relative to the elements	12	kJ/mol of atoms
magnetic moment	1.23	μB per cell
calculated volume	82	Å³/cell
ρ	11.58	g/cm3
SG	No. 123

Lattice parameters (Å, degrees): 3.335 3.335 7.395 90.00 90.00 90.00
Each line ends with the local moment (μB).
Element x y z (fractional)
Tc 0.000 0.000 0.808  -0.39
Tc 0.000 0.000 0.192  -0.39
Pr 0.500 0.500 0.500  0.07
Np 0.500 0.500 0.000  1.90

---

# 3
PrNpTc | PBE | optimized geometry

Summary:
energy relative to the elements	29	kJ/mol of atoms
magnetic moment	12.18	μB per cell
calculated volume	293	Å³/cell
ρ	10.79	g/cm3
SG	No. 70

Lattice parameters (Å, degrees): 6.021 5.240 11.736 81.52 75.14 54.93
Each line ends with the local moment (μB).
Element x y z (fractional)
Tc 0.631 0.000 0.739  -0.37
Tc 0.119 0.500 0.761  -0.37
Tc 0.369 0.000 0.261  -0.37
Tc 0.381 0.500 0.239  -0.37
Pr 0.432 0.137 0.500  -0.01
Pr 0.318 0.363 0.000  -0.01
Pr 0.682 0.637 0.000  -0.01
Pr 0.068 0.863 0.500  -0.01
Np 0.898 0.000 0.205  3.27
Np 0.852 0.500 0.295  3.27
Np 0.648 0.500 0.705  3.27
Np 0.102 0.000 0.795  3.27